1.
First-principles (GGA-PBE) data for a relaxed MgAl2Cu crystal, as listed in Alexandria.

extended XYZ file:
```
8
Lattice="-0.941 -2.716 -2.694 2.954 -2.278 1.265 -4.738 -6.558 5.386" Properties=species:S:1:pos:R:3 pbc="T T T"
Mg 1.007 -2.497 -0.714
Mg -0.389 -5.667 2.968
Al -1.417 -3.662 -0.219
Al 0.558 -3.363 1.840
Al -2.842 -6.757 3.485
Al -1.748 -9.322 2.808
Cu 0.000 0.000 0.000
Cu -2.336 -5.885 0.989
```

Computed properties:
DOS at the Fermi energy in states/eV/cell: 3.5

***

2.
First-principles (GGA-PBE) data for a relaxed Mg3AlCu crystal, as listed in Alexandria.

extended XYZ file:
```
5
Lattice="-1.498 4.106 -2.694 -3.355 1.201 3.696 3.586 2.839 2.332" Properties=species:S:1:pos:R:3 pbc="T T T"
Mg -1.677 0.601 1.848
Mg 1.793 1.419 1.166
Mg -0.749 2.053 -1.347
Al 0.000 0.000 0.000
Cu -0.633 4.073 1.667
```

Computed properties:
DOS at the Fermi energy in states/eV/cell: 2.0

***

3.
First-principles (GGA-PBE) data for a relaxed Mg12Al5Cu3 crystal, as listed in Alexandria.

extended XYZ file:
```
80
Lattice="13.875 0.000 0.000 -4.625 13.081 0.000 -4.625 -6.541 11.329" Properties=species:S:1:pos:R:3 pbc="T T T"
Cu 8.094 4.088 1.416
Cu 8.094 8.993 1.416
Cu -1.156 5.723 7.080
Cu 1.156 -0.818 4.248
Cu 10.406 0.000 2.832
Cu 1.156 6.541 2.832
Cu 3.469 0.000 8.496
Cu -5.781 6.541 8.496
Cu 3.469 7.358 7.080
Cu 5.781 0.818 4.248
Cu -3.469 -2.453 9.913
Cu -3.469 2.453 9.913
Al -1.156 3.270 2.832
Al -2.312 6.541 0.000
Al 0.000 0.000 0.000
Al 3.469 2.453 1.416
Al 4.625 -3.270 5.664
Al 4.625 6.541 0.000
Al -3.469 7.358 4.248
Al 5.781 -4.088 9.913
Al 5.781 5.723 4.248
Al 1.156 -3.270 8.496
Al 3.469 9.811 2.832
Al 2.312 3.270 5.664
Al 6.937 0.000 0.000
Al -2.312 -3.270 5.664
Al -1.156 0.818 7.080
Al -1.156 10.628 1.416
Al -4.625 3.270 5.664
Al 8.094 -0.818 7.080
Al 1.156 4.088 9.913
Al 5.781 3.270 8.496
Mg 9.237 1.275 0.818
Mg 0.013 4.616 4.969
Mg 9.949 3.056 3.009
Mg 6.238 2.192 1.513
Mg 1.877 5.275 7.501
Mg 9.527 6.282 1.837
Mg -0.700 7.405 4.522
Mg -3.925 10.889 1.513
Mg 0.435 7.806 7.501
Mg 6.660 6.799 1.837
Mg 6.950 3.199 4.151
Mg 6.950 11.806 0.818
Mg -4.190 5.864 6.482
Mg 2.589 5.079 1.142
Mg -4.637 9.882 4.151
Mg 2.325 -1.924 6.359
Mg -0.435 0.588 2.655
Mg 2.589 8.260 0.695
Mg 6.238 10.025 3.009
Mg -0.277 4.821 0.695
Mg -2.748 7.129 8.674
Mg 3.012 5.677 4.522
Mg 6.502 7.218 6.482
Mg 4.902 -1.462 10.187
Mg 1.613 0.864 6.806
Mg -1.877 -0.677 4.846
Mg -0.277 8.002 1.142
Mg -1.613 -3.485 8.319
Mg 7.372 -0.588 2.655
Mg 4.902 1.720 10.634
Mg 2.036 -1.720 10.634
Mg 2.300 8.465 4.969
Mg 5.060 5.952 8.674
Mg 9.262 -3.341 7.177
Mg 8.815 0.677 4.846
Mg -2.325 -5.266 10.510
Mg 2.036 1.462 10.187
Mg 4.190 -1.265 3.828
Mg -2.036 -0.258 9.492
Mg -2.325 3.341 7.177
Mg 8.550 -4.348 9.816
Mg 5.324 -0.864 6.806
Mg -1.613 4.348 9.816
Mg -4.902 0.258 9.492
Mg 2.748 1.265 3.828
Mg -5.324 3.485 8.319
Mg 4.612 1.924 6.359
Mg -4.612 5.266 10.510
```

Computed properties:
DOS at the Fermi energy in states/eV/cell: 45.8

***

4.
First-principles (GGA-PBE) data for a relaxed Mg2AlCu crystal, as listed in Alexandria.

extended XYZ file:
```
4
Lattice="-3.045 3.539 -1.689 -1.081 -0.842 4.772 1.976 2.090 0.816" Properties=species:S:1:pos:R:3 pbc="T T T"
Al -0.535 2.814 -0.437
Cu 0.447 0.624 2.794
Mg 0.000 0.000 0.000
Mg -2.063 1.349 1.541
```

Computed properties:
DOS at the Fermi energy in states/eV/cell: 1.1

***

5.
First-principles (GGA-PBE) data for a relaxed Mg3AlCu crystal, as listed in Alexandria.

extended XYZ file:
```
5
Lattice="-1.736 1.267 4.364 2.003 -3.980 1.952 4.079 2.494 0.899" Properties=species:S:1:pos:R:3 pbc="T T T"
Mg 1.001 -1.990 0.976
Mg 2.039 1.247 0.450
Mg -0.868 0.633 2.182
Al 2.173 -0.110 3.608
Cu 0.000 0.000 0.000
```

Computed properties:
DOS at the Fermi energy in states/eV/cell: 2.5

***

6.
First-principles (GGA-PBE) data for a relaxed Mg3Al7Cu4 crystal, as listed in Alexandria.

extended XYZ file:
```
14
Lattice="-3.702 1.490 -0.230 -4.238 -5.602 -2.812 -4.013 -3.614 6.460" Properties=species:S:1:pos:R:3 pbc="T T T"
Mg -2.723 -1.292 0.719
Mg -9.231 -6.434 2.698
Mg -4.126 -4.608 1.824
Al -6.832 -6.118 0.861
Al -5.964 -3.413 4.432
Al -8.530 -4.389 4.668
Al -5.121 -1.607 2.557
Al -3.423 -3.337 -1.250
Al 0.000 0.000 0.000
Al -5.989 -4.313 -1.014
Cu -5.236 -2.258 0.174
Cu -6.718 -5.468 3.244
Cu -8.406 -4.906 -0.692
Cu -3.548 -2.819 4.110
```

Computed properties:
DOS at the Fermi energy in states/eV/cell: 3.7

***

7.
First-principles (GGA-PBE) data for a relaxed MgAl6Cu3 crystal, as listed in Alexandria.

extended XYZ file:
```
20
Lattice="-1.934 1.002 -3.290 6.039 -3.296 -4.553 -6.212 -7.926 1.237" Properties=species:S:1:pos:R:3 pbc="T T T"
Mg -6.127 -5.358 -1.580
Mg 4.020 -4.861 -5.026
Al -2.452 -5.185 -3.686
Al 0.346 -5.034 -2.919
Al 2.944 -2.368 -6.001
Al -5.051 -7.851 -0.605
Al 0.733 -1.304 -4.377
Al -2.840 -8.915 -2.229
Al 1.133 -4.359 -5.542
Al -3.240 -5.861 -1.064
Al -3.708 -3.148 -2.328
Al 1.602 -7.071 -4.278
Al -2.246 -7.767 -4.594
Al 0.140 -2.452 -2.012
Cu -4.322 -6.958 -3.127
Cu 2.216 -3.261 -3.478
Cu -0.568 -6.067 -5.063
Cu -1.539 -4.152 -1.543
Cu -1.191 -0.159 -2.897
Cu -0.915 -10.060 -3.709
```

Computed properties:
DOS at the Fermi energy in states/eV/cell: 4.9

***

8.
First-principles (GGA-PBE) data for a relaxed MgAl2Cu crystal, as listed in Alexandria.

extended XYZ file:
```
4
Lattice="-0.430 1.822 -2.214 -3.804 -0.732 0.136 -0.710 4.379 3.740" Properties=species:S:1:pos:R:3 pbc="T T T"
Al -0.014 0.089 0.076
Al -2.303 1.695 -0.057
Cu -0.338 2.084 1.780
Mg -2.643 3.790 1.733
```

Computed properties:
DOS at the Fermi energy in states/eV/cell: 1.2

***

Asked for E_form across the records above, the calculation gives 0.193 0.611 0.458 0.000 0.262 -0.132 -0.070 -0.037 eV/atom in order.
Asked for magnetic moment across the records above, the calculation gives 0.0 0.0 0.0 0.0 0.0 0.0 0.0 0.0 Bohr magnetons per cell in order.
Asked for raw total energy across the records above, the calculation gives -24.81 -9.57 -163.91 -11.03 -11.31 -49.22 -74.08 -13.33 eV per cell in order.